(1)
This record from OQMD via LeMat-Bulk describes crystalline Dy2HoTmCd2 at its relaxed geometry. The functional is PBE.

Computed properties:
volume: 27.56 A^3/atom
calculated total energy: -3.5668 eV/atom
formation energy: -0.2259 eV/atom

a b c (Å): 5.363 8.658 8.658
angles (deg): 24.29 90.00 90.00
Fractional positions:
1 Dy 0.000 0.000 0.000
2 Dy 0.500 0.179 0.179
3 Ho 0.000 0.315 0.315
4 Tm 0.500 0.865 0.865
5 Cd 0.000 0.657 0.657
6 Cd 0.500 0.521 0.521

---

(2)
This record from OQMD via LeMat-Bulk describes crystalline GdMgZn at its relaxed geometry. The functional is PBE.

Computed properties:
volume: 23.92 A^3/atom
calculated total energy: -2.5006 eV/atom

a b c (Å): 6.513 6.513 15.381
angles (deg): 90.00 90.00 118.39
Fractional positions:
1 Gd 0.123 0.877 0.500
2 Gd 0.128 0.377 0.448
3 Gd 0.372 0.628 0.009
4 Gd 0.377 0.128 0.948
5 Gd 0.623 0.872 0.448
6 Gd 0.628 0.372 0.509
7 Gd 0.872 0.623 0.948
8 Gd 0.877 0.123 0.000
9 Mg 0.122 0.878 0.760
10 Mg 0.129 0.380 0.808
11 Mg 0.373 0.627 0.253
12 Mg 0.380 0.129 0.308
13 Mg 0.620 0.871 0.808
14 Mg 0.627 0.373 0.753
15 Mg 0.871 0.620 0.308
16 Mg 0.878 0.122 0.260
17 Zn 0.038 0.514 0.639
18 Zn 0.223 0.247 0.639
19 Zn 0.247 0.223 0.139
20 Zn 0.486 0.962 0.639
21 Zn 0.514 0.038 0.139
22 Zn 0.753 0.777 0.639
23 Zn 0.777 0.753 0.139
24 Zn 0.962 0.486 0.139

---

(3)
This record from OQMD via LeMat-Bulk describes crystalline Sm2Er2CICl4 at its relaxed geometry. The functional is PBE.

Computed properties:
volume: 27.79 A^3/atom
calculated total energy: -5.2471 eV/atom

a b c (Å): 8.737 8.737 8.741
angles (deg): 103.97 103.97 25.46
Fractional positions:
1 Sm 0.000 0.000 0.194
2 Sm 0.000 0.000 0.806
3 Er 0.357 0.357 0.929
4 Er 0.643 0.643 0.071
5 C 0.500 0.500 0.000
6 I 0.500 0.500 0.500
7 Cl 0.172 0.172 0.293
8 Cl 0.174 0.174 0.871
9 Cl 0.826 0.826 0.129
10 Cl 0.828 0.828 0.707

---

(4)
This record from OQMD via LeMat-Bulk describes crystalline HoHgAsO at its relaxed geometry. The functional is PBE.

Computed properties:
volume: 21.44 A^3/atom
offset from the most stable computed form: 259 meV per atom
calculated total energy: -4.9027 eV/atom

a b c (Å): 4.418 5.935 6.539
angles (deg): 90.00 90.00 90.00
Fractional positions:
1 Ho 0.000 0.246 0.000
2 Ho 0.000 0.754 0.500
3 Hg 0.500 0.227 0.631
4 Hg 0.500 0.773 0.131
5 As 0.000 0.259 0.440
6 As 0.000 0.741 0.940
7 O 0.500 0.235 0.989
8 O 0.500 0.765 0.489

---

(5)
This record from OQMD via LeMat-Bulk describes crystalline KRb2Ag3P2 at its relaxed geometry. The functional is PBE.

Computed properties:
volume: 29.11 A^3/atom
calculated total energy: -3.0968 eV/atom

a b c (Å): 7.870 7.870 7.870
angles (deg): 46.34 46.34 46.34
Fractional positions:
1 K 0.000 0.000 0.000
2 Rb 0.407 0.407 0.407
3 Rb 0.593 0.593 0.593
4 Ag 0.000 0.000 0.500
5 Ag 0.000 0.500 0.000
6 Ag 0.500 0.000 0.000
7 P 0.248 0.248 0.248
8 P 0.752 0.752 0.752

---

(6)
This record from OQMD via LeMat-Bulk describes crystalline La2TaCl3O4 at its relaxed geometry. The functional is PBE.

Computed properties:
volume: 18.52 A^3/atom
calculated total energy: -7.6157 eV/atom

a b c (Å): 3.958 15.546 18.062
angles (deg): 90.00 90.00 90.00
Fractional positions:
1 La 0.250 0.073 0.113
2 La 0.250 0.250 0.368
3 La 0.250 0.250 0.843
4 La 0.250 0.427 0.113
5 La 0.250 0.601 0.400
6 La 0.250 0.899 0.400
7 La 0.750 0.101 0.600
8 La 0.750 0.399 0.600
9 La 0.750 0.573 0.887
10 La 0.750 0.750 0.157
11 La 0.750 0.750 0.632
12 La 0.750 0.927 0.887
13 Ta 0.250 0.556 0.703
14 Ta 0.250 0.750 0.984
15 Ta 0.250 0.944 0.703
16 Ta 0.750 0.056 0.297
17 Ta 0.750 0.250 0.016
18 Ta 0.750 0.444 0.297
19 Cl 0.250 0.064 0.939
20 Cl 0.250 0.083 0.473
21 Cl 0.250 0.250 0.200
22 Cl 0.250 0.250 0.646
23 Cl 0.250 0.417 0.473
24 Cl 0.250 0.436 0.939
25 Cl 0.250 0.634 0.228
26 Cl 0.250 0.750 0.502
27 Cl 0.250 0.866 0.228
28 Cl 0.750 0.134 0.772
29 Cl 0.750 0.250 0.498
30 Cl 0.750 0.366 0.772
31 Cl 0.750 0.564 0.061
32 Cl 0.750 0.583 0.527
33 Cl 0.750 0.750 0.354
34 Cl 0.750 0.750 0.800
35 Cl 0.750 0.917 0.527
36 Cl 0.750 0.936 0.061
37 O 0.250 0.047 0.642
38 O 0.250 0.049 0.302
39 O 0.250 0.250 0.010
40 O 0.250 0.451 0.302
41 O 0.250 0.453 0.642
42 O 0.250 0.556 0.807
43 O 0.250 0.646 0.931
44 O 0.250 0.666 0.659
45 O 0.250 0.750 0.091
46 O 0.250 0.834 0.659
47 O 0.250 0.854 0.931
48 O 0.250 0.944 0.807
49 O 0.750 0.056 0.193
50 O 0.750 0.146 0.069
51 O 0.750 0.166 0.341
52 O 0.750 0.250 0.909
53 O 0.750 0.334 0.341
54 O 0.750 0.354 0.069
55 O 0.750 0.444 0.193
56 O 0.750 0.547 0.358
57 O 0.750 0.549 0.698
58 O 0.750 0.750 0.990
59 O 0.750 0.951 0.698
60 O 0.750 0.953 0.358

---

(7)
This record from OQMD via LeMat-Bulk describes crystalline GdDyIr at its relaxed geometry. The functional is PBE.

Computed properties:
volume: 26.29 A^3/atom
calculated total energy: -6.7163 eV/atom
formation energy: -0.6794 eV/atom

a b c (Å): 4.814 4.814 4.814
angles (deg): 60.00 60.00 60.00
Fractional positions:
1 Gd 0.000 0.000 0.000
2 Dy 0.500 0.500 0.500
3 Ir 0.250 0.250 0.250

---

(8)
This record from OQMD via LeMat-Bulk describes crystalline Sm2ThP3 at its relaxed geometry. The functional is PBE.

Computed properties:
volume: 24.68 A^3/atom
calculated total energy: -7.1059 eV/atom

a b c (Å): 7.124 7.124 7.124
angles (deg): 146.34 131.76 60.11
Fractional positions:
1 Sm 0.167 0.167 0.000
2 Sm 0.833 0.833 0.000
3 Th 0.500 0.500 0.000
4 P 0.000 0.500 0.500
5 P 0.334 0.834 0.500
6 P 0.666 0.166 0.500

---

(9)
This record from OQMD via LeMat-Bulk describes crystalline SrMgSbIr at its relaxed geometry. The functional is PBE.

Computed properties:
volume: 21.41 A^3/atom
offset from the most stable computed form: 0 meV per atom
calculated total energy: -4.2345 eV/atom

a b c (Å): 4.947 4.947 4.947
angles (deg): 60.00 60.00 60.00
Fractional positions:
1 Sr 0.000 0.000 0.000
2 Mg 0.750 0.750 0.750
3 Sb 0.250 0.250 0.250
4 Ir 0.500 0.500 0.500

---

(10)
This record from OQMD via LeMat-Bulk describes crystalline RbHoZnTe3 at its relaxed geometry. The functional is PBE.

Computed properties:
volume: 35.28 A^3/atom
offset from the most stable computed form: 0 meV per atom
calculated total energy: -3.7866 eV/atom

a b c (Å): 11.680 4.399 16.478
angles (deg): 90.00 90.00 90.00
Fractional positions:
1 Rb 0.239 0.250 0.000
2 Rb 0.261 0.750 0.500
3 Rb 0.739 0.250 0.500
4 Rb 0.761 0.750 0.000
5 Ho 0.011 0.750 0.252
6 Ho 0.489 0.250 0.752
7 Ho 0.511 0.750 0.248
8 Ho 0.989 0.250 0.748
9 Zn 0.241 0.750 0.787
10 Zn 0.259 0.250 0.287
11 Zn 0.741 0.750 0.713
12 Zn 0.759 0.250 0.213
13 Te 0.049 0.750 0.873
14 Te 0.069 0.250 0.376
15 Te 0.240 0.250 0.685
16 Te 0.260 0.750 0.185
17 Te 0.431 0.750 0.876
18 Te 0.451 0.250 0.373
19 Te 0.549 0.750 0.627
20 Te 0.569 0.250 0.124
21 Te 0.740 0.250 0.815
22 Te 0.760 0.750 0.315
23 Te 0.931 0.750 0.624
24 Te 0.951 0.250 0.127